Here is an optimized crystal structure of LiZnRu2N from Alexandria via LeMat-Bulk. Energies are from PBE.

a = 3.960 Å, b = 3.960 Å, c = 3.970 Å
α = 90.00°, β = 90.00°, γ = 90.00°
Atoms (fractional coordinates):
Li (0.000, 0.000, 0.000)
Zn (0.500, 0.500, 0.000)
Ru (0.000, 0.500, 0.500)
Ru (0.500, 0.000, 0.500)
N (0.000, 0.000, 0.500)

Output
Space group: P4/mmm (123)
Total magnetic moment (μB per cell): 0.01
Energy relative to the elements, uncorrected (kJ/mol of atoms): -9

***

Here is an optimized crystal structure of Dy2Ga2Pd from Alexandria via LeMat-Bulk. Energies are from PBE.

a = 5.735 Å, b = 5.735 Å, c = 10.544 Å
α = 115.01°, β = 115.01°, γ = 44.48°
Atoms (fractional coordinates):
Dy (0.008, 0.008, 0.328)
Dy (0.188, 0.188, 0.116)
Dy (0.812, 0.812, 0.884)
Dy (0.992, 0.992, 0.672)
Ga (0.360, 0.360, 0.443)
Ga (0.474, 0.474, 0.111)
Ga (0.526, 0.526, 0.889)
Ga (0.640, 0.640, 0.557)
Pd (0.276, 0.276, 0.657)
Pd (0.724, 0.724, 0.343)

Output
Space group: C2/m (12)
Total magnetic moment (μB per cell): 0.00
Polymorph energy (0 for the lowest one) (meV per atom): 0

***

Here is an optimized crystal structure of ZnCu2Ni from Alexandria via LeMat-Bulk. Energies are from PBE.

a = 4.089 Å, b = 4.089 Å, c = 4.089 Å
α = 60.00°, β = 60.00°, γ = 60.00°
Atoms (fractional coordinates):
Zn (0.000, 0.000, 0.000)
Cu (0.250, 0.250, 0.250)
Cu (0.500, 0.500, 0.500)
Ni (0.750, 0.750, 0.750)

Output
Space group: F-43m (216)
Total magnetic moment (μB per cell): 0.00
Final energy (eV/cell): -15.5

***

Here is an optimized crystal structure of AlRe2Ir from Alexandria via LeMat-Bulk. Energies are from PBE.

a = 2.798 Å, b = 4.079 Å, c = 5.160 Å
α = 90.00°, β = 90.00°, γ = 90.00°
Atoms (fractional coordinates):
Al (0.000, 0.000, 0.000)
Re (0.500, 0.500, 0.238)
Re (0.500, 0.500, 0.762)
Ir (0.000, 0.000, 0.500)

Output
Space group: Pmmm (47)
Total magnetic moment (μB per cell): 0.00
Final energy (eV/cell): -37.9

***

Here is an optimized crystal structure of CdGeBiH from Alexandria via LeMat-Bulk. Energies are from PBE.

a = 4.340 Å, b = 4.509 Å, c = 4.740 Å
α = 80.50°, β = 89.71°, γ = 79.36°
Atoms (fractional coordinates):
Cd (0.000, 0.000, 0.000)
Ge (0.585, 0.669, 0.755)
Bi (0.140, 0.436, 0.455)
H (0.612, 0.383, 0.023)

Output
Space group: P1 (1)
Total magnetic moment (μB per cell): 0.00
Polymorph energy (0 for the lowest one) (meV per atom): 45

***

Here is an optimized crystal structure of Ce2SmGe3Pt4 from Alexandria via LeMat-Bulk. Energies are from PBE.

a = 4.302 Å, b = 4.302 Å, c = 11.336 Å
α = 90.00°, β = 90.00°, γ = 90.00°
Atoms (fractional coordinates):
Ce (0.000, 0.500, 0.222)
Ce (0.500, 0.000, 0.778)
Sm (0.000, 0.000, 0.500)
Ge (0.000, 0.500, 0.879)
Ge (0.500, 0.000, 0.121)
Ge (0.500, 0.500, 0.500)
Pt (0.000, 0.000, 0.000)
Pt (0.000, 0.500, 0.663)
Pt (0.500, 0.000, 0.337)
Pt (0.500, 0.500, 0.000)

Output
Space group: P-4m2 (115)
Total magnetic moment (μB per cell): 1.64
Final energy (eV/cell): -63.6

***

Here is an optimized crystal structure of CrFeRh2 from Alexandria via LeMat-Bulk. Energies are from PBE.

a = 4.641 Å, b = 4.641 Å, c = 4.641 Å
α = 132.54°, β = 132.54°, γ = 69.38°
Atoms (fractional coordinates):
Cr (0.000, 0.000, 0.000)
Fe (0.250, 0.750, 0.500)
Rh (0.500, 0.500, 0.000)
Rh (0.750, 0.250, 0.500)

Output
Space group: I-4m2 (119)
Total magnetic moment (μB per cell): 1.23
Final energy (eV/cell): -33.1

***

Here is an optimized crystal structure of MgRh2 from Alexandria via LeMat-Bulk. Energies are from PBE.

a = 8.679 Å, b = 8.679 Å, c = 8.679 Å
α = 161.54°, β = 150.95°, γ = 34.64°
Atoms (fractional coordinates):
Mg (0.377, 0.127, 0.250)
Mg (0.623, 0.873, 0.750)
Rh (0.064, 0.314, 0.750)
Rh (0.216, 0.466, 0.750)
Rh (0.784, 0.534, 0.250)
Rh (0.936, 0.686, 0.250)

Output
Space group: Imma (74)
Total magnetic moment (μB per cell): 0.00
Final energy (eV/cell): -33.1

***

Here is an optimized crystal structure of NbV4W from Alexandria via LeMat-Bulk. Energies are from PBE.

a = 5.006 Å, b = 5.006 Å, c = 5.006 Å
α = 60.00°, β = 60.00°, γ = 60.00°
Atoms (fractional coordinates):
Nb (0.000, 0.000, 0.000)
V (0.375, 0.375, 0.375)
V (0.375, 0.375, 0.875)
V (0.375, 0.875, 0.375)
V (0.875, 0.375, 0.375)
W (0.750, 0.750, 0.750)

Output
Space group: F-43m (216)
Total magnetic moment (μB per cell): 0.00
Final energy (eV/cell): -60.0

***

Here is an optimized crystal structure of BaPmAs from Alexandria via LeMat-Bulk. Energies are from PBE.

a = 4.368 Å, b = 4.368 Å, c = 7.391 Å
α = 90.00°, β = 90.00°, γ = 120.00°
Atoms (fractional coordinates):
Ba (0.000, 0.000, 0.000)
Pm (0.333, 0.667, 0.481)
As (0.667, 0.333, 0.289)

Output
Space group: P3m1 (156)
Total magnetic moment (μB per cell): 0.44
Polymorph energy (0 for the lowest one) (meV per atom): 0

***

Here is an optimized crystal structure of Dy2Ho3Tm2 from Alexandria via LeMat-Bulk. Energies are from PBE.

a = 6.077 Å, b = 6.077 Å, c = 7.850 Å
α = 97.44°, β = 97.44°, γ = 48.22°
Atoms (fractional coordinates):
Dy (0.214, 0.214, 0.143)
Dy (0.786, 0.786, 0.857)
Ho (0.357, 0.357, 0.572)
Ho (0.500, 0.500, 0.000)
Ho (0.643, 0.643, 0.428)
Tm (0.072, 0.072, 0.713)
Tm (0.928, 0.928, 0.287)

Output
Space group: C2/m (12)
Total magnetic moment (μB per cell): 0.00
Final energy (eV/cell): -31.7

***

Here is an optimized crystal structure of Ca6Au2O from Alexandria via LeMat-Bulk. Energies are from PBE.

a = 6.764 Å, b = 7.603 Å, c = 11.514 Å
α = 90.00°, β = 123.60°, γ = 90.00°
Atoms (fractional coordinates):
Ca (0.126, 0.029, 0.239)
Ca (0.126, 0.471, 0.739)
Ca (0.216, 0.702, 0.056)
Ca (0.216, 0.798, 0.556)
Ca (0.356, 0.167, 0.052)
Ca (0.356, 0.333, 0.552)
Ca (0.644, 0.667, 0.448)
Ca (0.644, 0.833, 0.948)
Ca (0.784, 0.202, 0.444)
Ca (0.784, 0.298, 0.944)
Ca (0.874, 0.529, 0.261)
Ca (0.874, 0.971, 0.761)
Au (0.289, 0.102, 0.752)
Au (0.289, 0.398, 0.252)
Au (0.711, 0.602, 0.748)
Au (0.711, 0.898, 0.248)
O (0.000, 0.000, 0.000)
O (0.000, 0.500, 0.500)

Output
Space group: P2_1/c (14)
Total magnetic moment (μB per cell): 0.00
Energy relative to the elements, uncorrected (kJ/mol of atoms): -99